{"formula": "NaMoCO5", "functional": "PBE with a Hubbard U", "state": "optimized geometry", "cell": [[-4.518, -0.237, 2.624], [-0.542, -3.567, -3.786], [5.005, -2.654, 4.482]], "species": ["Na", "Na", "Mo", "Mo", "C", "C", "O", "O", "O", "O", "O", "O", "O", "O", "O", "O"], "frac_coords": [[0.342, 0.658, 0.250], [0.658, 0.342, 0.750], [0.000, 0.000, 0.500], [0.000, 0.000, 0.000], [0.686, 0.314, 0.250], [0.314, 0.686, 0.750], [0.078, 0.922, 0.250], [0.922, 0.078, 0.750], [0.876, 0.316, 0.144], [0.124, 0.684, 0.856], [0.684, 0.124, 0.356], [0.316, 0.876, 0.644], [0.752, 0.589, 0.392], [0.248, 0.411, 0.608], [0.411, 0.248, 0.108], [0.589, 0.752, 0.892]], "magmom_total_mub_per_atom": 0.1250, "final_energy_ha_per_atom": -0.2473, "spacegroup": "No. 15"}